K2C | GGA-PBEsol | relaxed

Results
DOS at the Fermi energy: 1.4 states/eV/f.u.
Formation energy: 1.535 eV per atom

Unit cell a=3.738 b=3.738 c=14.446 alpha=90.00 beta=90.00 gamma=90.00
Space group I4/mmm (No. 139)
Asymmetric unit:
K1 0.000 0.000 0.106
C1 0.000 0.000 0.500